i:
# Pr3PdPt, optimized geometry, DFT PBE-GGA
data_Pr3PdPt
_cell_length_a 4.009
_cell_length_b 8.626
_cell_length_c 8.459
_cell_angle_alpha 109.48
_cell_angle_beta 90.00
_cell_angle_gamma 90.00
_space_group_name_H-M_alt 'P 1'
_space_group_IT_number 1
_space_group_name_Hall 'P 1'
loop_
_atom_site_label
_atom_site_type_symbol
_atom_site_fract_x
_atom_site_fract_y
_atom_site_fract_z
Pr1 Pr 0.750 0.632 0.395
Pr2 Pr 0.250 0.368 0.605
Pr3 Pr 0.750 0.323 0.973
Pr4 Pr 0.250 0.931 0.770
Pr5 Pr 0.250 0.677 0.027
Pr6 Pr 0.750 0.069 0.230
Pd1 Pd 0.250 0.905 0.398
Pd2 Pd 0.750 0.095 0.602
Pt1 Pt 0.250 0.343 0.242
Pt2 Pt 0.750 0.657 0.758
# * V: 137.87 Å³/f.u.
# * space-group type: P2_1/m, No. 11

ii:
# Pr3PdPt, optimized geometry, DFT PBE-GGA
data_Pr3PdPt
_cell_length_a 8.610
_cell_length_b 7.575
_cell_length_c 9.083
_cell_angle_alpha 90.00
_cell_angle_beta 74.29
_cell_angle_gamma 90.00
_space_group_name_H-M_alt 'P 1'
_space_group_IT_number 1
_space_group_name_Hall 'P 1'
loop_
_atom_site_label
_atom_site_type_symbol
_atom_site_fract_x
_atom_site_fract_y
_atom_site_fract_z
Pr1 Pr 0.383 0.149 0.798
Pr2 Pr 0.617 0.851 0.202
Pr3 Pr 0.117 0.649 0.202
Pr4 Pr 0.883 0.351 0.798
Pr5 Pr 0.491 0.683 0.856
Pr6 Pr 0.509 0.317 0.144
Pr7 Pr 0.009 0.183 0.144
Pr8 Pr 0.991 0.817 0.856
Pr9 Pr 0.780 0.001 0.560
Pr10 Pr 0.220 0.999 0.440
Pr11 Pr 0.720 0.501 0.440
Pr12 Pr 0.280 0.499 0.560
Pd1 Pd 0.477 0.817 0.554
Pd2 Pd 0.523 0.183 0.446
Pd3 Pd 0.023 0.317 0.446
Pd4 Pd 0.977 0.683 0.554
Pt1 Pt 0.679 0.036 0.904
Pt2 Pt 0.321 0.964 0.096
Pt3 Pt 0.821 0.536 0.096
Pt4 Pt 0.179 0.464 0.904
# * V: 142.58 Å³/f.u.
# * space-group type: P2_1/c, No. 14

Most stable structure - ii; separation to the second - 11 meV/atom.

i:
# Pr2PdPt2, optimized geometry, DFT PBE-GGA
data_Pr2PdPt2
_cell_length_a 7.662
_cell_length_b 7.662
_cell_length_c 7.912
_cell_angle_alpha 90.00
_cell_angle_beta 90.00
_cell_angle_gamma 90.00
_space_group_name_H-M_alt 'P 1'
_space_group_IT_number 1
_space_group_name_Hall 'P 1'
loop_
_atom_site_label
_atom_site_type_symbol
_atom_site_fract_x
_atom_site_fract_y
_atom_site_fract_z
Pr1 Pr 0.674 0.826 0.500
Pr2 Pr 0.326 0.174 0.500
Pr3 Pr 0.826 0.326 0.000
Pr4 Pr 0.174 0.674 0.000
Pr5 Pr 0.826 0.326 0.500
Pr6 Pr 0.174 0.674 0.500
Pr7 Pr 0.326 0.174 0.000
Pr8 Pr 0.674 0.826 0.000
Pd1 Pd 0.500 0.500 0.250
Pd2 Pd 0.000 0.000 0.750
Pd3 Pd 0.500 0.500 0.750
Pd4 Pd 0.000 0.000 0.250
Pt1 Pt 0.370 0.870 0.250
Pt2 Pt 0.630 0.130 0.250
Pt3 Pt 0.130 0.370 0.750
Pt4 Pt 0.870 0.630 0.750
Pt5 Pt 0.870 0.630 0.250
Pt6 Pt 0.130 0.370 0.250
Pt7 Pt 0.370 0.870 0.750
Pt8 Pt 0.630 0.130 0.750
# * V: 116.10 Å³/f.u.
# * space-group type: P4/mnc, No. 128

ii:
# Pr2PdPt2, optimized geometry, DFT PBE-GGA
data_Pr2PdPt2
_cell_length_a 4.218
_cell_length_b 5.999
_cell_length_c 10.056
_cell_angle_alpha 88.85
_cell_angle_beta 77.89
_cell_angle_gamma 69.42
_space_group_name_H-M_alt 'P 1'
_space_group_IT_number 1
_space_group_name_Hall 'P 1'
loop_
_atom_site_label
_atom_site_type_symbol
_atom_site_fract_x
_atom_site_fract_y
_atom_site_fract_z
Pr1 Pr 0.678 0.303 0.342
Pr2 Pr 0.919 0.270 0.892
Pr3 Pr 0.322 0.697 0.658
Pr4 Pr 0.081 0.730 0.108
Pd1 Pd 0.617 0.091 0.675
Pd2 Pd 0.383 0.909 0.325
Pt1 Pt 0.062 0.305 0.571
Pt2 Pt 0.649 0.806 0.896
Pt3 Pt 0.938 0.695 0.429
Pt4 Pt 0.351 0.194 0.104
# * V: 116.25 Å³/f.u.
# * space-group type: C2/m, No. 12

Most stable structure - ii; separation to the second - 18 meV/atom.

i:
# PrPd3Pt, optimized geometry, DFT PBE-GGA
data_PrPd3Pt
_cell_length_a 4.498
_cell_length_b 6.510
_cell_length_c 6.557
_cell_angle_alpha 90.00
_cell_angle_beta 90.00
_cell_angle_gamma 90.00
_space_group_name_H-M_alt 'P 1'
_space_group_IT_number 1
_space_group_name_Hall 'P 1'
loop_
_atom_site_label
_atom_site_type_symbol
_atom_site_fract_x
_atom_site_fract_y
_atom_site_fract_z
Pr1 Pr 0.500 0.000 0.258
Pr2 Pr 0.000 0.500 0.742
Pd1 Pd 0.000 0.700 0.253
Pd2 Pd 0.500 0.800 0.747
Pd3 Pd 0.500 0.200 0.747
Pd4 Pd 0.000 0.300 0.253
Pd5 Pd 0.000 0.000 0.953
Pd6 Pd 0.500 0.500 0.047
Pt1 Pt 0.000 0.000 0.556
Pt2 Pt 0.500 0.500 0.444
# * V: 95.99 Å³/f.u.
# * space-group type: Pmmn, No. 59

ii:
# PrPd3Pt, optimized geometry, DFT PBE-GGA
data_PrPd3Pt
_cell_length_a 6.672
_cell_length_b 6.672
_cell_length_c 6.672
_cell_angle_alpha 109.30
_cell_angle_beta 133.68
_cell_angle_gamma 88.79
_space_group_name_H-M_alt 'P 1'
_space_group_IT_number 1
_space_group_name_Hall 'P 1'
loop_
_atom_site_label
_atom_site_type_symbol
_atom_site_fract_x
_atom_site_fract_y
_atom_site_fract_z
Pr1 Pr 0.001 0.751 0.750
Pr2 Pr 0.999 0.249 0.250
Pd1 Pd 0.500 0.311 0.311
Pd2 Pd 0.000 0.689 0.189
Pd3 Pd 0.500 0.689 0.689
Pd4 Pd 0.000 0.311 0.811
Pd5 Pd 0.691 0.941 0.250
Pd6 Pd 0.309 0.059 0.750
Pt1 Pt 0.500 0.500 0.000
Pt2 Pt 0.500 0.000 0.500
# * V: 96.59 Å³/f.u.
# * space-group type: Imma, No. 74

Most stable structure - ii; separation to the second - 88 meV/atom.

i:
# PrPuPdPt, optimized geometry, DFT PBE-GGA
data_PrPuPdPt
_cell_length_a 5.066
_cell_length_b 5.066
_cell_length_c 5.066
_cell_angle_alpha 60.00
_cell_angle_beta 60.00
_cell_angle_gamma 60.00
_space_group_name_H-M_alt 'P 1'
_space_group_IT_number 1
_space_group_name_Hall 'P 1'
loop_
_atom_site_label
_atom_site_type_symbol
_atom_site_fract_x
_atom_site_fract_y
_atom_site_fract_z
Pr1 Pr 0.500 0.500 0.500
Pd1 Pd 0.250 0.250 0.250
Pt1 Pt 0.750 0.750 0.750
Pu1 Pu 0.000 0.000 0.000
# * V: 91.93 Å³/f.u.
# * space-group type: F-43m, No. 216

ii:
# PrPuPdPt, optimized geometry, DFT PBE-GGA
data_PrPuPdPt
_cell_length_a 3.944
_cell_length_b 4.365
_cell_length_c 5.917
_cell_angle_alpha 90.00
_cell_angle_beta 109.47
_cell_angle_gamma 90.00
_space_group_name_H-M_alt 'P 1'
_space_group_IT_number 1
_space_group_name_Hall 'P 1'
loop_
_atom_site_label
_atom_site_type_symbol
_atom_site_fract_x
_atom_site_fract_y
_atom_site_fract_z
Pr1 Pr 0.141 0.000 0.282
Pu1 Pu 0.865 0.500 0.731
Pd1 Pd 0.584 0.500 0.168
Pt1 Pt 0.409 0.000 0.819
# * V: 96.03 Å³/f.u.
# * space-group type: Amm2, No. 38

Most stable structure - ii; separation to the second - 69 meV/atom.

i:
# SrPrPdPt, optimized geometry, DFT PBE-GGA
data_SrPrPdPt
_cell_length_a 5.175
_cell_length_b 5.175
_cell_length_c 5.175
_cell_angle_alpha 60.00
_cell_angle_beta 60.00
_cell_angle_gamma 60.00
_space_group_name_H-M_alt 'P 1'
_space_group_IT_number 1
_space_group_name_Hall 'P 1'
loop_
_atom_site_label
_atom_site_type_symbol
_atom_site_fract_x
_atom_site_fract_y
_atom_site_fract_z
Pr1 Pr 0.500 0.500 0.500
Sr1 Sr 0.000 0.000 0.000
Pd1 Pd 0.250 0.250 0.250
Pt1 Pt 0.750 0.750 0.750
# * V: 98.02 Å³/f.u.
# * space-group type: F-43m, No. 216

ii:
# SrPrPdPt, optimized geometry, DFT PBE-GGA
data_SrPrPdPt
_cell_length_a 4.067
_cell_length_b 4.489
_cell_length_c 6.061
_cell_angle_alpha 90.00
_cell_angle_beta 109.61
_cell_angle_gamma 90.00
_space_group_name_H-M_alt 'P 1'
_space_group_IT_number 1
_space_group_name_Hall 'P 1'
loop_
_atom_site_label
_atom_site_type_symbol
_atom_site_fract_x
_atom_site_fract_y
_atom_site_fract_z
Sr1 Sr 0.142 0.000 0.284
Pr1 Pr 0.867 0.500 0.733
Pd1 Pd 0.575 0.500 0.151
Pt1 Pt 0.416 0.000 0.832
# * V: 104.23 Å³/f.u.
# * space-group type: Amm2, No. 38

Most stable structure - ii; separation to the second - 61 meV/atom.

i:
# PrThPdPt, optimized geometry, DFT PBE-GGA
data_PrThPdPt
_cell_length_a 5.134
_cell_length_b 5.134
_cell_length_c 5.134
_cell_angle_alpha 60.00
_cell_angle_beta 60.00
_cell_angle_gamma 60.00
_space_group_name_H-M_alt 'P 1'
_space_group_IT_number 1
_space_group_name_Hall 'P 1'
loop_
_atom_site_label
_atom_site_type_symbol
_atom_site_fract_x
_atom_site_fract_y
_atom_site_fract_z
Pr1 Pr 0.500 0.500 0.500
Pd1 Pd 0.250 0.250 0.250
Pt1 Pt 0.750 0.750 0.750
Th1 Th 0.000 0.000 0.000
# * V: 95.68 Å³/f.u.
# * space-group type: F-43m, No. 216

ii:
# PrThPdPt, optimized geometry, DFT PBE-GGA
data_PrThPdPt
_cell_length_a 3.889
_cell_length_b 4.478
_cell_length_c 6.032
_cell_angle_alpha 90.00
_cell_angle_beta 108.80
_cell_angle_gamma 90.00
_space_group_name_H-M_alt 'P 1'
_space_group_IT_number 1
_space_group_name_Hall 'P 1'
loop_
_atom_site_label
_atom_site_type_symbol
_atom_site_fract_x
_atom_site_fract_y
_atom_site_fract_z
Pr1 Pr 0.140 0.000 0.279
Th1 Th 0.868 0.500 0.737
Pd1 Pd 0.587 0.500 0.175
Pt1 Pt 0.405 0.000 0.809
# * V: 99.44 Å³/f.u.
# * space-group type: Amm2, No. 38

Most stable structure - ii; separation to the second - 154 meV/atom.